## NaSnSeS (PBE)

Data for a geometry-optimized NaSnSeS structure.

a = 3.995 Å, b = 3.995 Å, c = 7.374 Å
α = 74.29°, β = 74.29°, γ = 60.00°
Element x y z (fractional)
Na 0.505 0.505 0.486
Sn 0.997 0.997 0.010
Se 0.743 0.743 0.771
S 0.256 0.256 0.233

## ReSb2Pt (PBE)

Data for a geometry-optimized ReSb2Pt structure.

Computed properties:
Excess energy over the best structure of this formula in the dataset = 145.1 meV/atom

a = 3.423 Å, b = 3.423 Å, c = 6.409 Å
α = 90.00°, β = 90.00°, γ = 90.00°
Element x y z (fractional)
Pt 0.500 0.500 0.250
Re 0.500 0.500 0.750
Sb 0.000 0.000 0.996
Sb 0.000 0.000 0.504

## MgAs2Pt2 (PBE)

Data for a geometry-optimized MgAs2Pt2 structure.

Computed properties:
ΔH_f (0 K) = -0.26 eV per atom

a = 7.077 Å, b = 7.077 Å, c = 3.580 Å
α = 90.00°, β = 90.00°, γ = 90.00°
Element x y z (fractional)
Pt 0.141 0.359 0.000
Pt 0.641 0.141 0.000
As 0.831 0.331 0.500
Pt 0.359 0.859 0.000
Mg 0.500 0.500 0.000
As 0.169 0.669 0.500
Pt 0.859 0.641 0.000
Mg 0.000 0.000 0.000
As 0.331 0.169 0.500
As 0.669 0.831 0.500

## LaBiBIr2 (PBE)

Data for a geometry-optimized LaBiBIr2 structure.

Computed properties:
ΔH_f (0 K) = -0.08 eV per atom

a = 4.344 Å, b = 5.095 Å, c = 4.344 Å
α = 90.00°, β = 90.00°, γ = 90.00°
Element x y z (fractional)
Ir 0.500 0.000 0.000
Ir 0.000 0.000 0.500
Bi 0.000 0.500 0.000
La 0.500 0.500 0.500
B 0.000 0.000 0.000

## PmPrIn6 (PBE)

Data for a geometry-optimized PmPrIn6 structure.

Computed properties:
ΔH_f (0 K) = -0.47 eV per atom
Excess energy over the best structure of this formula in the dataset = 0.0 meV/atom

a = 4.717 Å, b = 4.717 Å, c = 9.439 Å
α = 90.00°, β = 90.00°, γ = 90.00°
Element x y z (fractional)
In 0.500 0.500 0.500
In 0.500 0.000 0.252
Pr 0.000 0.000 0.000
In 0.000 0.500 0.252
In 0.500 0.500 0.000
Pm 0.000 0.000 0.500
In 0.500 0.000 0.748
In 0.000 0.500 0.748

## Fe2Se (PBE)

Data for a geometry-optimized Fe2Se structure.

Computed properties:
Excess energy over the best structure of this formula in the dataset = 0.0 meV/atom

a = 8.084 Å, b = 8.084 Å, c = 3.556 Å
α = 90.00°, β = 90.00°, γ = 154.91°
Last column: magnetic moment on the atom in μB.
Element x y z (fractional)
Fe 0.341 0.659 0.000  -0.75
Fe 0.940 0.060 0.000  0.77
Se 0.737 0.263 0.000  0.00
Fe 0.436 0.564 0.500  -0.75
Fe 0.838 0.162 0.500  0.77
Se 0.041 0.959 0.500  0.00

## CaRe (PBE)

Data for a geometry-optimized CaRe structure.

Computed properties:
ΔH_f (0 K) = 2.55 eV per atom
Excess energy over the best structure of this formula in the dataset = 2250.8 meV/atom

a = 5.212 Å, b = 5.212 Å, c = 5.850 Å
α = 90.00°, β = 90.00°, γ = 120.00°
Last column: magnetic moment on the atom in μB.
Element x y z (fractional)
Ca 0.667 0.333 0.750  0.03
Re 0.667 0.333 0.250  2.67
Re 0.333 0.667 0.750  2.67
Ca 0.333 0.667 0.250  0.03

## KRe2Te (PBE)

Data for a geometry-optimized KRe2Te structure.

a = 2.800 Å, b = 5.127 Å, c = 6.291 Å
α = 64.33°, β = 90.00°, γ = 90.00°
Element x y z (fractional)
Te 0.500 0.500 0.500
K 0.000 0.000 0.500
Re 0.000 0.000 0.000
Re 0.500 0.500 0.000

no.,uncorrected energy (eV/atom),DOS(E_F) (states/eV/atom),mass density (g cm⁻³)
1,-3.91,0.62,4.34
2,-6.39,0.64,13.82
3,-4.85,0.60,10.45
4,-6.72,0.50,12.83
5,-3.72,0.50,7.71
6,-6.94,0.50,6.43
7,-4.67,1.06,5.46
8,-5.92,1.05,11.00